(1)
This record from the Alexandria database describes an optimized crystal structure of ZrCu2Bi. The functional is GGA-PBE.

```
ZrCu2Bi
1.0
-3.720 3.720 2.914
3.720 -3.720 2.914
3.720 3.720 -2.914
Zr Cu Bi
2 4 2
Direct
0.000 0.000 0.000
0.750 0.250 0.500
0.127 0.125 0.502
0.375 0.873 0.998
0.623 0.625 0.498
0.875 0.377 0.002
0.250 0.750 0.500
0.500 0.500 0.000
```

Values from the calculation:
* E_form: 0.9 eV per formula unit
* spin magnetization: 0.0 Bohr magnetons per cell

=====

(2)
This record from the Alexandria database describes an optimized crystal structure of Zr2Cu2Bi. The functional is GGA-PBE.

```
Zr2Cu2Bi
1.0
7.889 0.000 0.000
0.000 7.889 0.000
0.000 0.000 3.292
Zr Cu Bi
4 4 2
Direct
0.161 0.339 0.000
0.339 0.839 0.000
0.661 0.161 0.000
0.839 0.661 0.000
0.126 0.626 0.500
0.374 0.126 0.500
0.626 0.874 0.500
0.874 0.374 0.500
0.000 0.000 0.000
0.500 0.500 0.000
```

Values from the calculation:
* E_form: 0.4 eV per formula unit
* spin magnetization: 0.0 Bohr magnetons per cell
* polymorph energy (0 for the lowest one): 5.84 kcal/mol of atoms

=====

(3)
This record from the Alexandria database describes an optimized crystal structure of ZrCuBi. The functional is GGA-PBE.

```
ZrCuBi
1.0
4.373 0.000 0.000
-2.178 3.793 0.000
-0.618 -2.108 9.161
Zr Cu Bi
2 2 2
Direct
0.120 0.270 0.386
0.880 0.730 0.614
0.251 0.445 0.702
0.749 0.555 0.298
0.363 0.818 0.172
0.637 0.182 0.828
```

Values from the calculation:
* E_form: 0.0 eV per formula unit
* spin magnetization: 0.0 Bohr magnetons per cell

=====

(4)
This record from the Alexandria database describes an optimized crystal structure of DyBi5. The functional is GGA-PBE.

```
DyBi5
1.0
2.350 -8.251 0.000
2.350 8.251 0.000
0.000 0.000 4.810
Dy Bi
1 5
Direct
0.000 0.000 0.000
0.166 0.834 0.500
0.349 0.651 0.000
0.500 0.500 0.500
0.651 0.349 0.000
0.834 0.166 0.500
```

Values from the calculation:
* E_form: -1.2 eV per formula unit
* spin magnetization: 0.0 Bohr magnetons per cell

=====

(5)
This record from the Alexandria database describes an optimized crystal structure of Dy4Bi3. The functional is GGA-PBE.

```
Dy4Bi3
1.0
-4.692 4.692 4.692
4.692 -4.692 4.692
4.692 4.692 -4.692
Dy Bi
8 6
Direct
0.000 0.353 0.500
0.000 0.853 0.500
0.147 0.147 0.147
0.353 0.500 0.000
0.500 0.000 0.353
0.500 0.000 0.853
0.647 0.647 0.647
0.853 0.500 0.000
0.125 0.750 0.875
0.250 0.625 0.375
0.375 0.250 0.625
0.625 0.375 0.250
0.750 0.875 0.125
0.875 0.125 0.750
```

Values from the calculation:
* E_form: -5.1 eV per formula unit
* spin magnetization: 0.0 Bohr magnetons per cell

=====

(6)
This record from the Alexandria database describes an optimized crystal structure of Dy3Bi4. The functional is GGA-PBE.

```
Dy3Bi4
1.0
2.344 1.353 12.011
-2.344 1.353 12.011
0.000 -2.707 12.011
Dy Bi
3 4
Direct
0.000 0.000 0.000
0.241 0.241 0.241
0.759 0.759 0.759
0.146 0.146 0.146
0.381 0.381 0.381
0.619 0.619 0.619
0.854 0.854 0.854
```

Values from the calculation:
* E_form: -3.7 eV per formula unit
* spin magnetization: 0.0 Bohr magnetons per cell

=====

(7)
This record from the Alexandria database describes an optimized crystal structure of Dy2Bi3. The functional is GGA-PBE.

```
Dy2Bi3
1.0
2.037 1.176 11.306
-2.037 1.176 11.306
0.000 -2.352 11.306
Dy Bi
2 3
Direct
0.107 0.107 0.107
0.893 0.893 0.893
0.293 0.293 0.293
0.500 0.500 0.500
0.707 0.707 0.707
```

Values from the calculation:
* E_form: -1.8 eV per formula unit
* spin magnetization: 0.0 Bohr magnetons per cell

=====

(8)
This record from the Alexandria database describes an optimized crystal structure of Dy4Bi. The functional is GGA-PBE.

```
Dy4Bi
1.0
5.804 0.000 0.000
0.000 5.804 0.000
0.000 0.000 5.804
Dy Bi
4 1
Direct
0.000 0.000 0.000
0.000 0.500 0.500
0.500 0.000 0.500
0.500 0.500 0.000
0.500 0.500 0.500
```

Values from the calculation:
* E_form: 1.6 eV per formula unit
* spin magnetization: 2.2 Bohr magnetons per cell

=====

(9)
This record from the Alexandria database describes an optimized crystal structure of Dy5Bi4. The functional is GGA-PBE.

```
Dy5Bi4
1.0
-4.903 4.903 3.127
4.903 -4.903 3.127
4.903 4.903 -3.127
Dy Bi
5 4
Direct
0.000 0.000 0.000
0.208 0.399 0.607
0.399 0.792 0.190
0.601 0.208 0.810
0.792 0.601 0.393
0.095 0.699 0.793
0.301 0.095 0.396
0.699 0.905 0.604
0.905 0.301 0.207
```

Values from the calculation:
* E_form: -5.6 eV per formula unit
* spin magnetization: 0.0 Bohr magnetons per cell

=====

(10)
This record from the Alexandria database describes an optimized crystal structure of Dy5Bi. The functional is GGA-PBE.

```
Dy5Bi
1.0
2.427 -7.502 0.000
2.427 7.502 0.000
0.000 0.000 4.919
Dy Bi
5 1
Direct
0.000 0.000 0.000
0.164 0.836 0.500
0.331 0.669 0.000
0.669 0.331 0.000
0.836 0.164 0.500
0.500 0.500 0.500
```

Values from the calculation:
* E_form: -1.4 eV per formula unit
* spin magnetization: 0.0 Bohr magnetons per cell

=====

(11)
This record from the Alexandria database describes an optimized crystal structure of Dy5Bi2. The functional is GGA-PBE.

```
Dy5Bi2
1.0
8.224 -3.247 0.000
8.224 3.247 0.000
-0.853 0.000 8.143
Dy Bi
10 4
Direct
0.104 0.347 0.304
0.170 0.830 0.750
0.276 0.519 0.060
0.347 0.104 0.804
0.481 0.724 0.440
0.519 0.276 0.560
0.653 0.896 0.196
0.724 0.481 0.940
0.830 0.170 0.250
0.896 0.653 0.696
0.063 0.735 0.413
0.265 0.937 0.087
0.735 0.063 0.913
0.937 0.265 0.587
```

Values from the calculation:
* E_form: -2.9 eV per formula unit
* spin magnetization: 0.0 Bohr magnetons per cell

=====

(12)
This record from the Alexandria database describes an optimized crystal structure of DyBi. The functional is GGA-PBE.

```
DyBi
1.0
2.229 -3.854 0.000
2.229 3.854 0.000
0.000 0.000 7.593
Dy Bi
2 2
Direct
0.000 0.000 0.000
0.000 0.000 0.500
0.333 0.667 0.750
0.667 0.333 0.250
```

Values from the calculation:
* E_form: -1.6 eV per formula unit
* spin magnetization: 0.0 Bohr magnetons per cell

=====

(13)
This record from the Alexandria database describes an optimized crystal structure of Dy2Er3Bi2. The functional is GGA-PBE.

```
Dy2Er3Bi2
1.0
6.041 -2.157 0.000
6.041 2.157 0.000
-2.656 0.000 8.119
Dy Er Bi
2 3 2
Direct
0.121 0.121 0.267
0.879 0.879 0.733
0.374 0.374 0.056
0.500 0.500 0.500
0.626 0.626 0.944
0.176 0.176 0.687
0.824 0.824 0.313
```

Values from the calculation:
* E_form: -3.1 eV per formula unit
* spin magnetization: 0.0 Bohr magnetons per cell

=====

(14)
This record from the Alexandria database describes an optimized crystal structure of DyEr3Bi4. The functional is GGA-PBE.

```
DyEr3Bi4
1.0
4.450 -6.293 0.000
4.450 6.293 0.000
0.000 0.000 4.453
Dy Er Bi
1 3 4
Direct
0.000 0.000 0.000
0.000 0.500 0.500
0.500 0.000 0.500
0.500 0.500 0.000
0.251 0.251 0.500
0.251 0.749 0.000
0.749 0.251 0.000
0.749 0.749 0.500
```

Values from the calculation:
* E_form: -6.6 eV per formula unit
* spin magnetization: 0.0 Bohr magnetons per cell
* polymorph energy (0 for the lowest one): 0.13 kcal/mol of atoms

=====

(15)
This record from the Alexandria database describes an optimized crystal structure of Dy4ErBi5. The functional is GGA-PBE.

```
Dy4ErBi5
1.0
-2.233 2.233 15.788
2.233 -2.233 15.788
2.233 2.233 -15.788
Dy Er Bi
4 1 5
Direct
0.100 0.100 0.000
0.300 0.300 0.000
0.700 0.700 0.000
0.900 0.900 0.000
0.500 0.500 0.000
0.000 0.000 0.000
0.200 0.200 0.000
0.400 0.400 0.000
0.600 0.600 0.000
0.800 0.800 0.000
```

Values from the calculation:
* E_form: -8.5 eV per formula unit
* spin magnetization: 0.0 Bohr magnetons per cell

=====

(16)
This record from the Alexandria database describes an optimized crystal structure of Dy4ErBi2. The functional is GGA-PBE.

```
Dy4ErBi2
1.0
-2.656 2.656 8.349
2.656 -2.656 8.349
2.656 2.656 -8.349
Dy Er Bi
4 1 2
Direct
0.000 0.500 0.500
0.181 0.181 0.000
0.500 0.000 0.500
0.819 0.819 0.000
0.000 0.000 0.000
0.365 0.365 0.000
0.635 0.635 0.000
```

Values from the calculation:
* E_form: 2.1 eV per formula unit
* spin magnetization: 0.0 Bohr magnetons per cell

=====

(17)
This record from the Alexandria database describes an optimized crystal structure of Dy3Er5Bi8. The functional is GGA-PBE.

```
Dy3Er5Bi8
1.0
4.455 2.572 7.275
-4.455 2.572 7.275
0.000 -5.144 7.275
Dy Er Bi
3 5 8
Direct
0.000 0.500 0.500
0.500 0.000 0.500
0.500 0.500 0.000
0.000 0.000 0.000
0.000 0.000 0.500
0.000 0.500 0.000
0.500 0.000 0.000
0.500 0.500 0.500
0.249 0.249 0.249
0.249 0.750 0.750
0.250 0.250 0.751
0.250 0.751 0.250
0.750 0.249 0.750
0.750 0.750 0.249
0.751 0.250 0.250
0.751 0.751 0.751
```

Values from the calculation:
* E_form: -13.3 eV per formula unit
* spin magnetization: 0.0 Bohr magnetons per cell

=====

(18)
This record from the Alexandria database describes an optimized crystal structure of Dy3ErBi. The functional is GGA-PBE.

```
Dy3ErBi
1.0
6.032 -2.875 0.000
6.032 2.875 0.000
-0.060 0.000 9.126
Dy Er Bi
6 2 2
Direct
0.091 0.091 0.339
0.391 0.391 0.904
0.400 0.400 0.340
0.600 0.600 0.660
0.609 0.609 0.096
0.909 0.909 0.661
0.115 0.115 0.915
0.885 0.885 0.085
0.244 0.244 0.625
0.756 0.756 0.375
```

Values from the calculation:
* E_form: -0.6 eV per formula unit
* spin magnetization: 0.0 Bohr magnetons per cell

=====

(19)
This record from the Alexandria database describes an optimized crystal structure of Dy2ErBi. The functional is GGA-PBE.

```
Dy2ErBi
1.0
1.818 1.050 10.740
-1.818 1.050 10.740
0.000 -2.100 10.740
Dy Er Bi
2 1 1
Direct
0.000 0.000 0.000
0.172 0.172 0.172
0.753 0.753 0.753
0.586 0.586 0.586
```

Values from the calculation:
* E_form: -0.8 eV per formula unit
* spin magnetization: 0.0 Bohr magnetons per cell
* polymorph energy (0 for the lowest one): 4.56 kcal/mol of atoms

=====

(20)
This record from the Alexandria database describes an optimized crystal structure of Dy2ErBi. The functional is GGA-PBE.

```
Dy2ErBi
1.0
4.632 0.000 0.000
0.000 4.589 0.000
-2.317 0.000 11.280
Dy Er Bi
4 2 2
Direct
0.059 0.250 0.119
0.438 0.250 0.877
0.562 0.750 0.123
0.941 0.750 0.881
0.310 0.750 0.620
0.690 0.250 0.380
0.171 0.750 0.341
0.829 0.250 0.659
```

Values from the calculation:
* E_form: -1.6 eV per formula unit
* spin magnetization: 0.0 Bohr magnetons per cell
* polymorph energy (0 for the lowest one): 0.00 kcal/mol of atoms

=====

no.,ρ (g cm⁻³)
1,8.799
2,8.404
3,7.949
4,10.747
5,10.264
6,9.613
7,9.725
8,7.294
9,9.104
10,9.470
11,9.397
12,9.458
13,9.769
14,9.987
15,9.816
16,8.707
17,9.946
18,9.065
19,9.465
20,9.713